! CsK2Na2 (GGA-PBEsol, optimized geometry); values from VASP
&SYSTEM
  ibrav = 0, nat = 10, ntyp = 3
/
ATOMIC_SPECIES
Na 22.99 Na.upf
K 39.10 K.upf
Cs 132.91 Cs.upf
CELL_PARAMETERS angstrom
4.442 0.000 0.000
0.000 11.651 0.000
0.000 0.000 11.651
ATOMIC_POSITIONS crystal
Na 0.500 0.332 0.168
Na 0.500 0.832 0.332
Na 0.500 0.668 0.832
Na 0.500 0.168 0.668
K 0.000 0.629 0.129
K 0.000 0.129 0.371
K 0.000 0.371 0.871
K 0.000 0.871 0.629
Cs 0.000 0.000 0.000
Cs 0.000 0.500 0.500
! Final energy, eV/cell: -11.80
! ΔE to the lowest computed polymorph, meV/atom: 0

***

! PPbSeBr2 (GGA-PBEsol, optimized geometry); values from VASP
&SYSTEM
  ibrav = 0, nat = 5, ntyp = 4
/
ATOMIC_SPECIES
Pb 207.20 Pb.upf
Br 79.90 Br.upf
P 30.97 P.upf
Se 78.96 Se.upf
CELL_PARAMETERS angstrom
5.031 0.000 0.000
0.000 5.031 0.000
0.000 0.000 4.968
ATOMIC_POSITIONS crystal
Pb 0.500 0.500 0.500
Br 0.000 0.500 0.000
Br 0.500 0.000 0.000
P 0.000 0.000 0.000
Se 0.000 0.000 0.500
! Final energy, eV/cell: -17.72
! Uncorrected formation energy, kJ/mol of formula units: -32.9

***

! La2ZnCo (GGA-PBEsol, optimized geometry); values from VASP
&SYSTEM
  ibrav = 0, nat = 4, ntyp = 3
/
ATOMIC_SPECIES
La 138.91 La.upf
Co 58.93 Co.upf
Zn 65.41 Zn.upf
CELL_PARAMETERS angstrom
-1.029 0.197 3.752
3.540 -2.414 1.098
3.490 4.526 -1.303
ATOMIC_POSITIONS crystal
La 0.991 0.000 0.982
La 0.263 0.500 0.527
Co 0.585 0.500 0.171
Zn 0.695 0.000 0.390
! Final energy, eV/cell: -20.49

***

! GaSiHg2Sb (GGA-PBEsol, optimized geometry); values from VASP
&SYSTEM
  ibrav = 0, nat = 5, ntyp = 4
/
ATOMIC_SPECIES
Hg 200.59 Hg.upf
Sb 121.76 Sb.upf
Si 28.09 Si.upf
Ga 69.72 Ga.upf
CELL_PARAMETERS angstrom
4.763 0.000 0.000
0.000 5.060 0.000
0.000 0.000 5.060
ATOMIC_POSITIONS crystal
Hg 0.000 0.000 0.500
Hg 0.000 0.500 0.000
Sb 0.500 0.500 0.500
Si 0.000 0.000 0.000
Ga 0.500 0.000 0.000
! Final energy, eV/cell: -12.84
! Uncorrected formation energy, kJ/mol of formula units: 186.7